Run one
# CdAs2Br

A crystal of CdAs2Br relaxed with PBEsol (meta-GGA SCAN, Alexandria).

Summary:
Density = 5915 kg/m³
N(E_F) = 0.243 states/eV per atom

Geometry as POSCAR:
```
CdAs2Br
1.0
-2.106 -2.268 -2.054
3.635 -3.263 -0.125
-1.060 -1.379 5.199
As Br Cd
2 1 1
Cartesian
-2.380 -2.721 1.818
-0.785 -0.926 1.328
0.765 -2.765 -1.089
1.288 -2.321 2.537
```


Run two
# CdAs2Br

A crystal of CdAs2Br relaxed with PBEsol (meta-GGA SCAN, Alexandria).

Summary:
Density = 6132 kg/m³
N(E_F) = 0.309 states/eV per atom

Geometry as POSCAR:
```
CdAs2Br
1.0
-0.418 3.527 -1.028
-5.102 -0.177 1.466
3.533 1.488 3.670
As Br Cd
2 1 1
Cartesian
-4.926 -0.144 1.510
-3.518 1.932 1.411
-0.710 0.669 2.586
1.282 2.858 2.637
```


Top of the stability list: run two, leading by 12 meV per atom.


Run one
# Co2AsBr

A crystal of Co2AsBr relaxed with PBEsol (meta-GGA SCAN, Alexandria).

Summary:
Density = 6454 kg/m³
N(E_F) = 0.373 states/eV per atom

Geometry as POSCAR:
```
Co2AsBr
1.0
-0.914 3.146 -1.510
-1.521 -1.764 -2.755
-4.692 -0.100 2.653
As Co Br
1 2 1
Cartesian
-2.390 1.929 0.083
-0.722 0.381 0.155
-1.940 1.071 -1.977
-4.878 -0.576 0.699
```


Run two
# Co2AsBr

A crystal of Co2AsBr relaxed with PBEsol (meta-GGA SCAN, Alexandria).

Summary:
Density = 7359 kg/m³
N(E_F) = 0.460 states/eV per atom

Geometry as POSCAR:
```
Co2AsBr
1.0
-1.541 -2.504 -0.054
2.947 -1.780 -1.491
1.838 -1.242 5.116
As Co Br
1 2 1
Cartesian
0.703 -2.142 -0.773
0.000 0.000 0.000
0.149 -1.873 2.531
2.393 -1.511 1.813
```


Top of the stability list: run one, leading by 510 meV per atom.


Run one
# CoAsBr2F

A crystal of CoAsBr2F relaxed with PBEsol (meta-GGA SCAN, Alexandria).

Summary:
Density = 5248 kg/m³
N(E_F) = 0.580 states/eV per atom

Geometry as POSCAR:
```
CoAsBr2F
1.0
-3.786 1.081 1.968
1.308 -2.433 3.853
2.033 3.899 1.771
As Co Br F
1 1 2 1
Cartesian
-1.893 0.540 0.984
0.000 0.000 0.000
1.017 1.949 0.886
0.654 -1.216 1.926
-0.222 1.273 3.796
```


Run two
# CoAsBr2F

A crystal of CoAsBr2F relaxed with PBEsol (meta-GGA SCAN, Alexandria).

Summary:
Density = 4840 kg/m³
N(E_F) = 0.772 states/eV per atom

Geometry as POSCAR:
```
CoAsBr2F
1.0
3.790 0.000 0.000
0.000 5.320 0.000
0.000 0.000 5.320
As Co Br F
1 1 2 1
Cartesian
1.895 0.000 0.000
1.895 2.660 2.660
0.000 0.000 2.660
0.000 2.660 0.000
0.000 0.000 0.000
```


Top of the stability list: run one, leading by 258 meV per atom.


Run one
# CrAs2SeBr

A crystal of CrAs2SeBr relaxed with PBEsol (meta-GGA SCAN, Alexandria).

Summary:
Density = 4748 kg/m³
N(E_F) = 0.658 states/eV per atom

Geometry as POSCAR:
```
CrAs2SeBr
1.0
5.037 0.000 0.000
0.000 5.037 0.000
0.000 0.000 4.973
Cr As Se Br
1 2 1 1
Cartesian
2.518 2.518 2.487
0.000 2.518 0.000
2.518 0.000 0.000
0.000 0.000 2.487
0.000 0.000 0.000
```


Run two
# CrAs2SeBr

A crystal of CrAs2SeBr relaxed with PBEsol (meta-GGA SCAN, Alexandria).

Summary:
Density = 6008 kg/m³
N(E_F) = 0.648 states/eV per atom

Geometry as POSCAR:
```
CrAs2SeBr
1.0
-1.320 1.155 -4.193
2.678 -3.405 -1.781
-3.593 -2.988 0.308
Cr As Se Br
1 2 1 1
Cartesian
0.000 0.000 0.000
-1.797 -1.494 0.154
1.339 -1.702 -0.890
-0.660 0.577 -2.097
-1.118 -2.619 -2.833
```


Top of the stability list: run two, leading by 908 meV per atom.


Run one
# AsPBr2F

A crystal of AsPBr2F relaxed with PBEsol (meta-GGA SCAN, Alexandria).

Summary:
Density = 4388 kg/m³
N(E_F) = 0.703 states/eV per atom

Geometry as POSCAR:
```
AsPBr2F
1.0
3.797 0.000 0.000
0.000 5.327 0.000
0.000 0.000 5.327
P As Br F
1 1 2 1
Cartesian
1.899 2.663 2.663
1.899 0.000 0.000
0.000 0.000 2.663
0.000 2.663 0.000
0.000 0.000 0.000
```


Run two
# AsPBr2F

A crystal of AsPBr2F relaxed with PBEsol (meta-GGA SCAN, Alexandria).

Summary:
Density = 4149 kg/m³
N(E_F) = 0.640 states/eV per atom

Geometry as POSCAR:
```
AsPBr2F
1.0
-2.270 -3.788 1.961
-1.364 -1.460 -4.400
4.082 -2.647 -0.387
P As Br F
1 1 2 1
Cartesian
0.000 0.000 0.000
2.041 -1.324 -0.194
-0.682 -0.730 -2.200
-1.135 -1.894 0.980
0.224 -3.947 -1.413
```


Top of the stability list: run two, leading by 243 meV per atom.


Run one
# FeAsBr2

A crystal of FeAsBr2 relaxed with PBEsol (meta-GGA SCAN, Alexandria).

Summary:
Density = 5153 kg/m³
N(E_F) = 0.762 states/eV per atom

Geometry as POSCAR:
```
FeAsBr2
1.0
3.421 0.000 0.000
0.000 3.421 0.000
0.000 0.000 8.002
As Br Fe
1 2 1
Cartesian
1.710 1.710 4.715
0.000 0.000 7.591
1.710 1.710 2.375
0.000 0.000 5.325
```


Run two
# FeAsBr2

A crystal of FeAsBr2 relaxed with PBEsol (meta-GGA SCAN, Alexandria).

Summary:
Density = 6301 kg/m³
N(E_F) = 0.614 states/eV per atom

Geometry as POSCAR:
```
FeAsBr2
1.0
3.266 0.000 0.000
0.000 4.842 0.000
0.000 0.000 4.842
As Br Fe
1 2 1
Cartesian
1.633 0.000 0.000
0.000 0.000 2.421
0.000 2.421 0.000
1.633 2.421 2.421
```


Run three
# FeAsBr2

A crystal of FeAsBr2 relaxed with PBEsol (meta-GGA SCAN, Alexandria).

Summary:
Density = 5276 kg/m³
N(E_F) = 0.180 states/eV per atom

Geometry as POSCAR:
```
FeAsBr2
1.0
-0.726 2.860 1.368
-1.697 -1.894 3.058
6.996 -0.997 1.932
As Br Fe
1 2 1
Cartesian
-0.363 1.430 0.684
0.444 0.248 3.583
4.129 -0.279 2.775
-0.849 -0.947 1.529
```


Top of the stability list: run one, leading by 109 meV per atom.


Run one
# TiFeAs2Br

A crystal of TiFeAs2Br relaxed with PBEsol (meta-GGA SCAN, Alexandria).

Summary:
Density = 4823 kg/m³
N(E_F) = 0.908 states/eV per atom

Geometry as POSCAR:
```
TiFeAs2Br
1.0
-1.443 1.659 -4.314
1.211 -4.225 -2.030
-4.512 -1.704 0.854
As Fe Br Ti
2 1 1 1
Cartesian
0.606 -2.113 -1.015
-0.721 0.829 -2.157
-2.372 -2.135 -2.745
-2.256 -0.852 0.427
0.000 0.000 0.000
```


Run two
# TiFeAs2Br

A crystal of TiFeAs2Br relaxed with PBEsol (meta-GGA SCAN, Alexandria).

Summary:
Density = 5625 kg/m³
N(E_F) = 0.582 states/eV per atom

Geometry as POSCAR:
```
TiFeAs2Br
1.0
-3.745 -2.200 0.842
1.193 -3.135 -2.884
2.309 -2.518 3.692
As Fe Br Ti
2 1 1 1
Cartesian
0.596 -1.567 -1.442
-1.872 -1.100 0.421
0.000 0.000 0.000
1.155 -1.259 1.846
-0.121 -3.926 0.825
```


Top of the stability list: run two, leading by 40 meV per atom.


Run one
# GaAsPdBr2

A crystal of GaAsPdBr2 relaxed with PBEsol (meta-GGA SCAN, Alexandria).

Summary:
Density = 5602 kg/m³
N(E_F) = 0.585 states/eV per atom

Geometry as POSCAR:
```
GaAsPdBr2
1.0
-4.122 1.812 1.965
0.660 -2.861 4.021
2.628 3.638 2.157
As Ga Br Pd
1 1 2 1
Cartesian
-2.061 0.906 0.983
0.000 0.000 0.000
1.314 1.819 1.078
0.330 -1.430 2.011
-0.417 1.295 4.072
```


Run two
# GaAsPdBr2

A crystal of GaAsPdBr2 relaxed with PBEsol (meta-GGA SCAN, Alexandria).

Summary:
Density = 5287 kg/m³
N(E_F) = 0.555 states/eV per atom

Geometry as POSCAR:
```
GaAsPdBr2
1.0
4.660 0.000 0.000
0.000 5.262 0.000
0.000 0.000 5.262
As Ga Br Pd
1 1 2 1
Cartesian
2.330 0.000 0.000
2.330 2.631 2.631
0.000 0.000 2.631
0.000 2.631 0.000
0.000 0.000 0.000
```


Top of the stability list: run two, leading by 408 meV per atom.